No. 1
Be2InW | GGA-PBE | relaxed

Values from the calculation:
Symmetry   P4mm, No. 99
E   -5.311 eV/atom
Crystal system   tetragonal
Calculated formation energy   475 meV/atom

Structure (POSCAR):
```
Be2InW
1.0
2.923 0.000 0.000
0.000 2.923 0.000
0.000 0.000 6.516
Be In W
2 1 1
Cartesian
0.000 0.000 0.000 Be
1.462 1.462 0.966 Be
0.000 0.000 2.869 In
1.462 1.462 5.071 W
```

No. 2
RbY2HfV | GGA-PBE | relaxed

Values from the calculation:
Symmetry   P4/mmm, No. 123
E   -4.815 eV/atom
Crystal system   tetragonal
Calculated formation energy   1778 meV/atom

Structure (POSCAR):
```
RbY2HfV
1.0
5.378 0.000 0.000
0.000 5.378 0.000
0.000 0.000 4.776
Rb Y Hf V
1 2 1 1
Cartesian
0.000 0.000 0.000 Rb
0.000 2.689 0.000 Y
2.689 0.000 0.000 Y
2.689 2.689 2.388 Hf
0.000 0.000 2.388 V
```

No. 3
PmNdEr | GGA-PBE | relaxed

Values from the calculation:
Symmetry   P3m1, No. 156
E   -4.628 eV/atom
Polymorph energy (0 for the lowest one)   14 kJ/mol of formula units
Crystal system   trigonal
Calculated formation energy   66 meV/atom

Structure (POSCAR):
```
PmNdEr
1.0
5.720 0.000 0.000
-2.860 4.954 0.000
0.000 0.000 3.515
Pm Nd Er
1 1 1
Cartesian
0.000 0.000 0.000 Pm
0.000 3.302 1.760 Nd
2.860 1.651 0.007 Er
```

No. 4
Rb2NiOsAu | GGA-PBE | relaxed

Values from the calculation:
Symmetry   P4/mmm, No. 123
E   -3.312 eV/atom
Crystal system   tetragonal
Calculated formation energy   1132 meV/atom

Structure (POSCAR):
```
Rb2NiOsAu
1.0
6.615 0.000 0.000
0.000 6.615 0.000
0.000 0.000 4.456
Rb Ni Os Au
2 1 1 1
Cartesian
0.000 3.307 0.000 Rb
3.307 0.000 0.000 Rb
0.000 0.000 2.228 Ni
0.000 0.000 0.000 Os
3.307 3.307 2.228 Au
```

No. 5
BP2Au | GGA-PBE | relaxed

Values from the calculation:
Symmetry   I-4m2, No. 119
E   -5.176 eV/atom
Crystal system   tetragonal
Calculated formation energy   17 meV/atom

Structure (POSCAR):
```
BP2Au
1.0
-1.553 1.553 6.988
1.553 -1.553 6.988
1.553 1.553 -6.988
B P Au
1 2 1
Cartesian
0.000 0.000 0.000 B
0.000 1.553 1.141 P
0.000 1.553 5.847 P
0.000 1.553 3.494 Au
```

No. 6
CePr2Y8 | GGA-PBE | relaxed

Values from the calculation:
Symmetry   C2/m, No. 12
E   -6.066 eV/atom
Crystal system   monoclinic
Calculated formation energy   44 meV/atom

Structure (POSCAR):
```
CePr2Y8
1.0
9.181 -2.549 0.000
9.181 2.549 0.000
-2.101 0.000 7.762
Ce Pr Y
1 2 8
Cartesian
0.000 0.000 0.000 Ce
4.227 0.000 2.824 Pr
12.033 0.000 4.938 Pr
0.692 0.000 3.508 Y
1.394 0.000 7.042 Y
4.981 0.000 6.384 Y
7.802 0.000 2.087 Y
8.459 0.000 5.675 Y
11.279 0.000 1.379 Y
14.867 0.000 0.720 Y
15.568 0.000 4.254 Y
```

No. 7
LaTb2Pm5Dy | GGA-PBE | relaxed

Values from the calculation:
Symmetry   Cmc2_1, No. 36
E   -4.579 eV/atom
Crystal system   orthorhombic
Calculated formation energy   148 meV/atom

Structure (POSCAR):
```
LaTb2Pm5Dy
1.0
2.861 -10.115 0.000
2.861 10.115 0.000
0.000 0.000 10.692
La Tb Pm Dy
2 4 10 2
Cartesian
2.861 8.417 5.346 La
2.861 -8.417 0.000 La
2.861 2.337 3.926 Tb
2.861 2.296 8.342 Tb
2.861 -2.296 2.996 Tb
2.861 -2.337 9.272 Tb
2.861 9.717 8.424 Pm
2.861 7.801 0.756 Pm
2.861 5.999 8.065 Pm
2.861 5.676 3.867 Pm
2.861 0.344 0.764 Pm
2.861 -0.344 6.109 Pm
2.861 -5.676 9.212 Pm
2.861 -5.999 2.719 Pm
2.861 -7.801 6.102 Pm
2.861 -9.717 3.078 Pm
2.861 4.049 0.627 Dy
2.861 -4.049 5.973 Dy
```

No. 8
La2Y5Er2 | GGA-PBE | relaxed

Values from the calculation:
Symmetry   Ima2, No. 46
E   -5.477 eV/atom
Polymorph energy (0 for the lowest one)   55 kJ/mol of formula units
Crystal system   orthorhombic
Calculated formation energy   223 meV/atom

Structure (POSCAR):
```
La2Y5Er2
1.0
-7.495 5.970 3.394
7.495 -5.970 3.394
7.495 5.970 -3.394
La Y Er
4 10 4
Cartesian
0.000 0.000 0.000 La
7.495 0.000 0.000 La
3.748 5.885 2.765 La
-3.748 6.054 2.765 La
8.293 2.891 -1.310 Y
6.698 -3.079 2.084 Y
2.129 2.796 0.755 Y
5.366 2.796 0.755 Y
3.748 -2.916 4.149 Y
-0.798 3.079 2.084 Y
8.293 3.079 2.084 Y
3.748 8.886 0.755 Y
2.129 3.174 4.150 Y
5.366 3.174 4.150 Y
1.899 -0.042 3.062 Er
5.596 -0.042 3.062 Er
1.899 6.011 -0.333 Er
5.596 6.011 -0.333 Er
```

No. 9
ScIn2P | GGA-PBE | relaxed

Values from the calculation:
Symmetry   F-43m, No. 216
E   -4.364 eV/atom
Crystal system   cubic
Calculated formation energy   -60 meV/atom

Structure (POSCAR):
```
ScIn2P
1.0
0.000 3.514 3.514
3.514 0.000 3.514
3.514 3.514 0.000
Sc In P
1 2 1
Cartesian
0.000 0.000 0.000 Sc
1.757 1.757 1.757 In
3.514 3.514 3.514 In
5.271 5.271 5.271 P
```

No. 10
Nd3SmAl4 | GGA-PBE | relaxed

Values from the calculation:
Symmetry   P4/mmm, No. 123
E   -4.607 eV/atom
Crystal system   tetragonal
Calculated formation energy   -358 meV/atom

Structure (POSCAR):
```
Nd3SmAl4
1.0
3.718 0.000 0.000
0.000 3.718 0.000
0.000 0.000 14.865
Nd Sm Al
3 1 4
Cartesian
0.000 0.000 0.000 Nd
0.000 0.000 3.742 Nd
0.000 0.000 11.123 Nd
0.000 0.000 7.433 Sm
1.859 1.859 1.871 Al
1.859 1.859 5.626 Al
1.859 1.859 9.239 Al
1.859 1.859 12.995 Al
```

No. 11
SrTlAu2 | GGA-PBE | relaxed

Values from the calculation:
Symmetry   F-43m, No. 216
E   -3.000 eV/atom
Crystal system   cubic
Calculated formation energy   -349 meV/atom

Structure (POSCAR):
```
SrTlAu2
1.0
0.000 3.669 3.669
3.669 0.000 3.669
3.669 3.669 0.000
Sr Tl Au
1 1 2
Cartesian
0.000 0.000 0.000 Sr
1.835 1.835 1.835 Tl
3.669 3.669 3.669 Au
5.504 5.504 5.504 Au
```

No. 12
Tb3Pm4Y4 | GGA-PBE | relaxed

Values from the calculation:
Symmetry   Immm, No. 71
E   -5.215 eV/atom
Polymorph energy (0 for the lowest one)   79 kJ/mol of formula units
Crystal system   orthorhombic
Calculated formation energy   126 meV/atom

Structure (POSCAR):
```
Tb3Pm4Y4
1.0
-1.801 4.679 11.097
1.801 -4.679 11.097
1.801 4.679 -11.097
Tb Pm Y
3 4 4
Cartesian
0.000 0.000 0.000 Tb
1.801 0.000 8.688 Tb
0.000 4.679 2.409 Tb
1.801 1.667 -3.173 Pm
1.801 1.667 3.173 Pm
0.000 3.012 7.924 Pm
0.000 3.012 14.269 Pm
0.000 0.000 5.738 Y
1.801 2.974 0.000 Y
0.000 1.705 11.097 Y
0.000 0.000 16.456 Y
```

No. 13
MgWBr | GGA-PBE | relaxed

Values from the calculation:
Symmetry   F-43m, No. 216
E   -3.913 eV/atom
Formation energy (no corrections)   34.438 kcal/mol of atoms
Polymorph energy (0 for the lowest one)   292 kJ/mol of formula units
Crystal system   cubic

Structure (POSCAR):
```
MgWBr
1.0
0.000 3.445 3.445
3.445 0.000 3.445
3.445 3.445 0.000
Mg W Br
1 1 1
Cartesian
0.000 0.000 0.000 Mg
1.723 1.723 1.723 W
3.445 3.445 3.445 Br
```